The following is a DFT calculation (meta-GGA SCAN) of a crystal of YFeSb2 relaxed with PBEsol.

abc: 4.9923 4.9923 4.9923
angles: 60.00 60.00 60.00
Last column: nearest neighbours and their distance in Å.
Sites, in units of the cell vectors:
Y (0.0000, 0.0000, 0.0000)  4 Fe 3.06, 4 Sb 3.06
Fe (0.7500, 0.7500, 0.7500)  4 Y 3.06, 4 Sb 3.06
Sb (0.2500, 0.2500, 0.2500)  4 Sb 3.06, 4 Y 3.06
Sb (0.5000, 0.5000, 0.5000)  4 Fe 3.06, 4 Sb 3.06

Values from the calculation:
SG: F-43m, No. 216
Crystal system: cubic
Calculated volume in Å³/f.u.: 87.98
DOS(E_F) in states/eV/atom: 1.093
Final energy in eV/cell: -120.3

---

The following is a DFT calculation (meta-GGA SCAN) of a crystal of Li3TlTe relaxed with PBEsol.

abc: 5.1459 5.1459 5.1459
angles: 90.00 90.00 90.00
Last column: nearest neighbours and their distance in Å.
Sites, in units of the cell vectors:
Li (0.0000, 0.0000, 0.5000)  2 Te 2.57
Li (0.0000, 0.5000, 0.0000)  2 Te 2.57
Li (0.5000, 0.0000, 0.0000)  2 Te 2.57
Tl (0.5000, 0.5000, 0.5000)  12 Li 3.64
Te (0.0000, 0.0000, 0.0000)  6 Li 2.57

Values from the calculation:
SG: Pm-3m, No. 221
Crystal system: cubic
Calculated volume in Å³/f.u.: 136.26
DOS(E_F) in states/eV/atom: 0.734
Final energy in eV/cell: -118.8